This record from Alexandria describes a geometry-optimized Ho8Te4AsSe3 structure. The functional is GGA-PBE.

Properties
As for the spin magnetization: 0.00 μB per atom. The formation energy without anion corrections is -1503 meV/atom.

```
data_Ho8Te4AsSe3
_space_group_name_H-M_alt 'R -3 m'
_space_group_IT_number 166
_space_group_name_Hall '-R 3 2"'
_cell_length_a 8.3539
_cell_length_b 8.3539
_cell_length_c 20.9210
_cell_angle_alpha 90.00
_cell_angle_beta 90.00
_cell_angle_gamma 120.00
loop_
_atom_site_label
_atom_site_type_symbol
_atom_site_fract_x
_atom_site_fract_y
_atom_site_fract_z
Ho1 Ho 0.0000 0.0000 0.2381
Ho2 Ho 0.0046 0.5023 0.2379
Te1 Te 0.0000 0.0000 0.0000
Te2 Te 0.0000 0.5000 0.0000
As1 As 0.0000 0.0000 0.5000
Se1 Se 0.0000 0.5000 0.5000
```